Version A
The following is a DFT calculation (PBE) of crystalline Nd3Dy7 at its relaxed geometry.

- Total moment: 0.00 μB/f.u.

Lattice parameters (Å, degrees): 10.808 10.808 6.515 90.00 90.00 120.00
Positions (direct):
Nd: 0.203 0.407 0.000
Nd: 0.203 0.797 0.000
Nd: 0.407 0.203 0.500
Nd: 0.593 0.797 0.000
Nd: 0.797 0.203 0.500
Nd: 0.797 0.593 0.500
Dy: 0.059 0.529 0.345
Dy: 0.121 0.242 0.519
Dy: 0.121 0.879 0.519
Dy: 0.242 0.121 0.019
Dy: 0.333 0.667 0.653
Dy: 0.471 0.529 0.345
Dy: 0.471 0.941 0.345
Dy: 0.529 0.059 0.845
Dy: 0.529 0.471 0.845
Dy: 0.667 0.333 0.153
Dy: 0.758 0.879 0.519
Dy: 0.879 0.121 0.019
Dy: 0.879 0.758 0.019
Dy: 0.941 0.471 0.845

=====

Version B
The following is a DFT calculation (PBE) of crystalline Nd3Dy7 at its relaxed geometry.

- Total moment: 0.00 μB/f.u.

Lattice parameters (Å, degrees): 9.473 9.473 7.179 100.89 100.89 31.00
Positions (direct):
Nd: 0.000 0.000 0.000
Nd: 0.199 0.199 0.600
Nd: 0.801 0.801 0.400
Dy: 0.000 0.000 0.500
Dy: 0.200 0.200 0.100
Dy: 0.400 0.400 0.199
Dy: 0.401 0.401 0.700
Dy: 0.599 0.599 0.300
Dy: 0.600 0.600 0.801
Dy: 0.800 0.800 0.900

=====

Energies in eV/atom, measured from the most stable structure: version A 0.161; version B 0.000.